# 1
A relaxed structure of CrCu2Os. Source: the Alexandria database, functional PBE-GGA.

Size of the total moment in μB per formula unit: 0.000
Calculated formation energy in eV per atom: 0.18
Total DFT energy (no corrections) in eV/atom: -7.08

```
CrCu2Os
1.0
1.323 0.764 8.503
-1.323 0.764 8.503
0.000 -1.527 8.503
Cr Cu Os
1 2 1
Cartesian
0.000 0.000 0.000 Cr
0.000 0.000 6.370 Cu
0.000 0.000 12.806 Cu
0.000 0.000 19.024 Os
```


# 2
A relaxed structure of CrCu2Os. Source: the Alexandria database, functional PBE-GGA.

Size of the total moment in μB per formula unit: 0.000
Calculated formation energy in eV per atom: 0.55
Total DFT energy (no corrections) in eV/atom: -6.71

```
CrCu2Os
1.0
0.000 2.927 2.927
2.927 0.000 2.927
2.927 2.927 0.000
Cr Cu Os
1 2 1
Cartesian
0.000 0.000 0.000 Cr
1.464 1.464 1.464 Cu
4.391 4.391 4.391 Cu
2.927 2.927 2.927 Os
```


# 3
A relaxed structure of CrCu2Os. Source: the Alexandria database, functional PBE-GGA.

Size of the total moment in μB per formula unit: 0.002
Calculated formation energy in eV per atom: 0.46
Total DFT energy (no corrections) in eV/atom: -6.81

```
CrCu2Os
1.0
1.376 -2.131 0.000
1.376 2.131 0.000
0.000 0.000 8.826
Cr Cu Os
1 2 1
Cartesian
0.000 0.000 0.000 Cr
1.376 0.000 2.135 Cu
1.376 0.000 6.691 Cu
0.000 0.000 4.413 Os
```